[1]
U6GeSe5 after structural relaxation, computed with PBE.

Theoretical density = 10.998 Mg/m³
Crystal system = monoclinic
Volume = 23.85 Å³ per atom
ΔE_f (raw) = -0.8599 eV per atom
D(E_F) = 23.946 states/eV/cell

```
U6GeSe5
1.0
-1.0400 -4.5997 5.8245
4.1133 -5.3488 -0.8413
6.3061 0.1263 2.5498
Se U Ge
5 6 1
direct
0.5000 0.1657 0.6685
0.5000 0.8343 0.3315
0.0000 0.6668 0.6664
0.0000 0.3332 0.3336
0.5000 0.5000 0.0000
0.2494 0.2510 0.0000
0.7506 0.7490 0.0000
0.2497 0.9167 0.6661
0.7503 0.0833 0.3339
0.2497 0.5828 0.3339
0.7503 0.4172 0.6661
0.0000 0.0000 0.0000
```


[2]
TcNi2As2 after structural relaxation, computed with PBE.

Theoretical density = 8.822 Mg/m³
Crystal system = tetragonal
Formation energy = -0.046 eV per atom
Volume = 13.75 Å³ per atom
D(E_F) = 8.361 states/eV/cell

```
TcNi2As2
1.0
-5.1284 -1.4803 3.9214
3.4988 -4.9241 2.7169
1.0922 1.9757 2.1742
As Tc Ni
4 2 4
direct
0.3426 0.8426 0.0000
0.6574 0.1574 0.0000
0.8426 0.6574 0.0000
0.1574 0.3426 0.0000
0.0000 0.0000 0.0000
0.5000 0.5000 0.0000
0.3621 0.1379 0.5000
0.1379 0.6379 0.5000
0.6379 0.8621 0.5000
0.8621 0.3621 0.5000
```


[3]
Dy3Sc2Al3 after structural relaxation, computed with PBE.

Theoretical density = 5.767 Mg/m³
Crystal system = orthorhombic
Formation energy = -0.321 eV per atom
Volume = 23.69 Å³ per atom
D(E_F) = 6.616 states/eV/cell

```
Dy3Sc2Al3
1.0
3.5563 0.0000 0.0000
0.0000 5.1116 0.0000
-1.7781 -2.5558 10.4276
Al Sc Dy
3 2 3
direct
0.0000 0.5000 0.0000
0.1246 0.1246 0.2493
0.8754 0.8754 0.7507
0.7348 0.2348 0.4696
0.2652 0.7652 0.5304
0.3768 0.3768 0.7535
0.6232 0.6232 0.2465
0.5000 0.0000 0.0000
```


[4]
KSrSiAs2 after structural relaxation, computed with PBE.

Theoretical density = 2.871 Mg/m³
Crystal system = orthorhombic
Volume = 35.24 Å³ per atom
ΔE_f (raw) = -0.2977 eV per atom
D(E_F) = 6.146 states/eV/cell

```
KSrSiAs2
1.0
-2.1537 3.4223 -3.5447
0.9989 -5.8106 -6.2168
-7.4507 0.0948 4.6184
Si Sr As K
2 2 4 2
direct
0.0000 0.5000 0.0000
0.0000 0.0000 0.0000
0.5000 0.2500 0.0000
0.5000 0.7500 0.0000
0.7682 0.8783 0.7566
0.2318 0.3783 0.7566
0.2318 0.1217 0.2434
0.7682 0.6217 0.2434
0.2577 0.7500 0.5000
0.7423 0.2500 0.5000
```


[5]
Y2RuPt2 after structural relaxation, computed with PBE.

Theoretical density = 9.599 Mg/m³
Crystal system = tetragonal
Formation energy = -0.406 eV per atom
Volume = 23.15 Å³ per atom
D(E_F) = 4.753 states/eV/cell

```
Y2RuPt2
1.0
-5.1661 -1.7771 0.2439
0.3345 -1.6849 -5.1919
-1.1687 -5.1913 -1.2707
Y Pt Ru
2 2 1
direct
0.2500 0.7500 0.5000
0.7500 0.2500 0.5000
0.3352 0.3352 0.3296
0.6648 0.6648 0.6704
0.0000 0.0000 0.0000
```


[6]
HoInSn3 after structural relaxation, computed with PBE.

Theoretical density = 7.949 Mg/m³
Crystal system = orthorhombic
Formation energy = -0.278 eV per atom
Volume = 26.57 Å³ per atom
D(E_F) = 8.691 states/eV/cell

```
HoInSn3
1.0
-4.9282 -3.6524 1.7701
-0.1910 -2.5169 -5.7250
8.4464 -9.5074 3.8981
In Ho Sn
4 4 12
direct
0.5000 0.7500 0.8807
0.0000 0.7500 0.8807
0.0000 0.2500 0.1193
0.5000 0.2500 0.1193
0.2500 0.9882 0.6880
0.7500 0.5118 0.6880
0.7500 0.0118 0.3120
0.2500 0.4882 0.3120
0.2500 0.2117 0.9140
0.2500 0.9840 0.2887
0.7500 0.7883 0.0860
0.5000 0.7500 0.5006
0.2500 0.7117 0.0860
0.0000 0.7500 0.5006
0.7500 0.0160 0.7113
0.7500 0.2883 0.9140
0.0000 0.2500 0.4994
0.5000 0.2500 0.4994
0.7500 0.5160 0.2887
0.2500 0.4840 0.7113
```


[7]
ScBe2Te after structural relaxation, computed with PBE.

Theoretical density = 4.708 Mg/m³
Crystal system = tetragonal
Volume = 16.81 Å³ per atom
ΔE_f (raw) = 0.2039 eV per atom
D(E_F) = 1.521 states/eV/cell

```
ScBe2Te
1.0
-1.9230 1.0797 4.7641
-3.9594 -2.9924 1.7116
4.7385 -0.7810 -2.1184
Be Te Sc
2 1 1
direct
0.0001 0.0001 0.0000
0.4999 0.4999 0.0000
0.2500 0.7500 0.5000
0.7500 0.2500 0.5000
```


[8]
ErCoH after structural relaxation, computed with PBE.

Theoretical density = 9.573 Mg/m³
Crystal system = orthorhombic
Volume = 13.14 Å³ per atom
Total DFT energy (no corrections) = -5.02 eV/atom
D(E_F) = 7.645 states/eV/cell

```
ErCoH
1.0
-2.5226 -0.3284 1.6056
3.1221 -1.0406 7.5103
-1.4746 6.2597 1.7815
H Er Co
4 4 4
direct
0.1541 0.5000 0.6918
0.3459 0.5000 0.3082
0.5959 0.0000 0.8082
0.4041 0.0000 0.1918
0.8952 0.2096 0.0000
0.1048 0.7904 0.0000
0.8548 0.2904 0.5000
0.6452 0.7096 0.5000
0.5819 0.5000 0.8362
0.8319 0.0000 0.3362
0.1681 0.0000 0.6638
0.9181 0.5000 0.1638
```


[9]
NbP2Pd after structural relaxation, computed with PBE.

Theoretical density = 6.597 Mg/m³
Crystal system = trigonal
Formation energy = -0.224 eV per atom
Volume = 16.44 Å³ per atom
D(E_F) = 3.167 states/eV/cell

```
NbP2Pd
1.0
-3.3022 1.3543 0.1095
-2.3033 -1.1103 2.4925
0.0178 4.3847 4.5273
P Pd Nb
2 1 1
direct
0.7484 0.7484 0.7548
0.2516 0.2516 0.2452
0.0000 0.0000 0.0000
0.5000 0.5000 0.5000
```


[10]
Pm4Te5Br2 after structural relaxation, computed with PBE.

Theoretical density = 5.245 Mg/m³
Crystal system = monoclinic
Volume = 39.65 Å³ per atom
ΔE_f (raw) = -1.4070 eV per atom

```
Pm4Te5Br2
1.0
-0.2366 -2.9223 3.4813
9.2228 -4.8350 -3.4318
3.1212 7.8348 3.8137
Pm Br Te
4 2 5
direct
0.3064 0.3686 0.6128
0.9753 0.1908 0.9505
0.0247 0.8092 0.0495
0.6936 0.6314 0.3872
0.4708 0.3502 0.9415
0.5292 0.6498 0.0585
0.1424 0.4130 0.2849
0.5000 0.0000 0.0000
0.8030 0.1710 0.6059
0.1970 0.8290 0.3941
0.8576 0.5870 0.7151
```


[11]
ZnReMo2 after structural relaxation, computed with PBE.

Theoretical density = 11.972 Mg/m³
Crystal system = orthorhombic
Formation energy = 0.130 eV per atom
Volume = 15.38 Å³ per atom
D(E_F) = 2.639 states/eV/cell

```
ZnReMo2
1.0
2.6990 0.0026 0.0000
-0.8667 2.5561 0.0000
0.0000 0.0000 8.9137
Mo Zn Re
2 1 1
direct
0.5000 0.5000 0.2516
0.0000 0.0000 0.0004
0.5000 0.5000 0.7493
0.0000 0.0000 0.4986
```


[12]
TaZnGaBr2 after structural relaxation, computed with PBE.

Theoretical density = 6.028 Mg/m³
Crystal system = tetragonal
Volume = 26.22 Å³ per atom
ΔE_f (raw) = 1.0337 eV per atom
D(E_F) = 4.948 states/eV/cell

```
TaZnGaBr2
1.0
5.1971 0.0000 0.0000
0.0000 5.1971 0.0000
0.0000 0.0000 4.8536
Br Zn Ga Ta
2 1 1 1
direct
0.0000 0.5000 0.0000
0.5000 0.0000 0.0000
0.0000 0.0000 0.0000
0.0000 0.0000 0.5000
0.5000 0.5000 0.5000
```


[13]
K2RbHgF after structural relaxation, computed with PBE.

Theoretical density = 3.626 Mg/m³
Crystal system = tetragonal
Volume = 35.10 Å³ per atom
ΔE_f (raw) = -1.1135 eV per atom
D(E_F) = 2.611 states/eV/cell

```
K2RbHgF
1.0
-4.9910 1.6740 -1.6204
-0.3504 -4.3266 -3.3905
-2.4190 -3.1183 4.2292
Hg F K Rb
1 1 2 1
direct
0.5000 0.5000 0.5000
0.0000 0.0000 0.0000
0.5000 0.0000 0.0000
0.0000 0.5000 0.0000
0.0000 0.0000 0.5000
```


[14]
GdLuCd after structural relaxation, computed with PBE.

Theoretical density = 8.835 Mg/m³
Crystal system = tetragonal
Formation energy = -0.204 eV per atom
Volume = 27.86 Å³ per atom
D(E_F) = 2.852 states/eV/cell

```
GdLuCd
1.0
3.5757 0.0000 0.0000
0.0000 3.5757 0.0000
-1.7879 -1.7879 6.5364
Gd Lu Cd
1 1 1
direct
0.0075 0.0075 0.0151
0.3208 0.3208 0.6416
0.6717 0.6717 0.3434
```


[15]
LiNbTeI2 after structural relaxation, computed with PBE.

Theoretical density = 4.293 Mg/m³
Crystal system = tetragonal
Volume = 37.23 Å³ per atom
ΔE_f (raw) = -0.1562 eV per atom
D(E_F) = 3.560 states/eV/cell

```
LiNbTeI2
1.0
5.8653 0.0000 0.0000
0.0000 5.8653 0.0000
0.0000 0.0000 5.4116
I Nb Li Te
2 1 1 1
direct
0.5000 0.0000 0.0000
0.0000 0.5000 0.0000
0.0000 0.0000 0.0000
0.5000 0.5000 0.5000
0.0000 0.0000 0.5000
```


[16]
Pm2TmZr after structural relaxation, computed with PBE.

Theoretical density = 7.655 Mg/m³
Crystal system = cubic
Formation energy = 0.209 eV per atom
Volume = 29.84 Å³ per atom
D(E_F) = 6.355 states/eV/cell

```
Pm2TmZr
1.0
5.5263 0.0000 0.0000
2.7632 4.7859 0.0000
2.7632 1.5953 4.5122
Tm Pm Zr
1 2 1
direct
0.0000 0.0000 0.0000
0.7500 0.7500 0.7500
0.2500 0.2500 0.2500
0.5000 0.5000 0.5000
```


[17]
TbSm3Y6Ho2 after structural relaxation, computed with PBE.

Theoretical density = 6.314 Mg/m³
Crystal system = monoclinic
Formation energy = 0.018 eV per atom
Volume = 32.29 Å³ per atom
D(E_F) = 16.714 states/eV/cell

```
TbSm3Y6Ho2
1.0
-2.8748 -0.7279 5.4401
-0.1174 -4.5577 -4.1956
10.7464 -2.6954 4.1464
Tb Y Sm Ho
1 6 3 2
direct
0.0000 0.0000 0.0000
0.9171 0.5837 0.7523
0.7494 0.7494 0.2477
0.5837 0.9171 0.7523
0.2506 0.2506 0.7523
0.4163 0.0829 0.2477
0.0829 0.4163 0.2477
0.1667 0.8333 0.5000
0.8333 0.1667 0.5000
0.5000 0.5000 0.5000
0.6666 0.3334 0.0000
0.3334 0.6666 0.0000
```


[18]
ZnCd2Co after structural relaxation, computed with PBE.

Theoretical density = 7.898 Mg/m³
Crystal system = tetragonal
Formation energy = 0.492 eV per atom
Volume = 18.35 Å³ per atom
D(E_F) = 5.790 states/eV/cell

```
ZnCd2Co
1.0
3.9385 0.0000 0.0000
0.0000 3.9385 0.0000
1.9693 1.9693 9.4656
Cd Co Zn
4 2 2
direct
0.8750 0.8673 0.7500
0.3750 0.3827 0.7500
0.1327 0.6250 0.2500
0.6173 0.1250 0.2500
0.2500 0.7500 0.5000
0.5000 0.5000 0.0000
0.0000 0.0000 0.0000
0.7500 0.2500 0.5000
```


[19]
RuPt2Se after structural relaxation, computed with PBE.

Theoretical density = 14.235 Mg/m³
Crystal system = tetragonal
Volume = 16.63 Å³ per atom
ΔE_f (raw) = 0.2527 eV per atom
D(E_F) = 3.493 states/eV/cell

```
RuPt2Se
1.0
7.1532 0.0000 0.0000
0.0000 7.1532 0.0000
3.5766 3.5766 2.5999
Se Ru Pt
2 2 4
direct
0.5000 0.5000 0.0000
0.2500 0.7500 0.5000
0.7500 0.2500 0.5000
0.0000 0.0000 0.0000
0.8750 0.8566 0.7500
0.1434 0.6250 0.2500
0.3750 0.3934 0.7500
0.6066 0.1250 0.2500
```


[20]
ZnTe2 after structural relaxation, computed with PBE.

Theoretical density = 6.441 Mg/m³
Crystal system = hexagonal
Volume = 27.55 Å³ per atom
ΔE_f (raw) = 0.3387 eV per atom
D(E_F) = 2.274 states/eV/cell

```
ZnTe2
1.0
5.5969 0.0000 0.0000
-2.7984 4.8470 0.0000
0.0000 0.0000 3.0467
Te Zn
2 1
direct
0.6667 0.3333 0.5000
0.3333 0.6667 0.5000
0.0000 0.0000 0.0000
```


[21]
MnCu2I after structural relaxation, computed with PBE.

Theoretical density = 7.241 Mg/m³
Crystal system = cubic
Volume = 17.71 Å³ per atom
ΔE_f (raw) = 0.7433 eV per atom
D(E_F) = 1.770 states/eV/cell

```
MnCu2I
1.0
0.0000 3.2842 3.2842
3.2842 0.0000 3.2842
3.2842 3.2842 0.0000
Cu I Mn
2 1 1
direct
0.7500 0.7500 0.7500
0.2500 0.2500 0.2500
0.5000 0.5000 0.5000
0.0000 0.0000 0.0000
```


[22]
Co3Te after structural relaxation, computed with PBE.

Theoretical density = 9.912 Mg/m³
Crystal system = hexagonal
Volume = 12.75 Å³ per atom
ΔE_f (raw) = 0.2468 eV per atom
D(E_F) = 10.181 states/eV/cell

```
Co3Te
1.0
0.9664 2.7358 4.4326
-2.5782 -4.6215 0.2486
3.6537 -2.0143 0.4466
Te Co
2 6
direct
0.3333 0.6667 0.2500
0.6667 0.3333 0.7500
0.1613 0.8387 0.7500
0.6775 0.8387 0.7500
0.1613 0.3225 0.7500
0.8387 0.6775 0.2500
0.8387 0.1613 0.2500
0.3225 0.1613 0.2500
```


[23]
CuHgAu after structural relaxation, computed with PBE.

Theoretical density = 12.888 Mg/m³
Crystal system = cubic
Formation energy = 0.128 eV per atom
Volume = 19.80 Å³ per atom
D(E_F) = 1.047 states/eV/cell

```
CuHgAu
1.0
-0.9345 -4.1343 -1.1033
0.8165 -1.4206 -4.0618
3.2381 -2.8627 -0.7093
Hg Au Cu
1 1 1
direct
0.0000 0.0000 0.0000
0.5000 0.5000 0.5000
0.7500 0.7500 0.7500
```


[24]
LaPm6Ho12 after structural relaxation, computed with PBE.

Theoretical density = 7.755 Mg/m³
Crystal system = trigonal
Formation energy = 0.205 eV per atom
Volume = 33.67 Å³ per atom
D(E_F) = 30.747 states/eV/cell

```
LaPm6Ho12
1.0
8.6489 -0.1630 -1.1970
-1.3517 8.5442 -1.1970
-0.1419 -0.1630 8.7302
Ho Pm La
12 6 1
direct
0.3559 0.3559 0.0813
0.5000 0.7574 0.2426
0.6441 0.9187 0.6441
0.6441 0.6441 0.9187
0.7574 0.5000 0.2426
0.0813 0.3559 0.3559
0.3559 0.0813 0.3559
0.5000 0.2426 0.7574
0.2426 0.5000 0.7574
0.2426 0.7574 0.5000
0.9187 0.6441 0.6441
0.7574 0.2426 0.5000
0.8996 0.8996 0.3460
0.6540 0.1004 0.1004
0.1004 0.1004 0.6540
0.3460 0.8996 0.8996
0.1004 0.6540 0.1004
0.8996 0.3460 0.8996
0.0000 0.0000 0.0000
```


[25]
DyAl2Cu after structural relaxation, computed with PBE.

Theoretical density = 6.088 Mg/m³
Crystal system = trigonal
Formation energy = 0.040 eV per atom
Volume = 19.09 Å³ per atom
D(E_F) = 2.012 states/eV/cell

```
DyAl2Cu
1.0
3.1006 0.0000 0.0000
1.5503 2.6852 0.0000
1.5503 0.8951 9.1728
Dy Cu Al
1 1 2
direct
0.5000 0.5000 0.5000
0.0000 0.0000 0.0000
0.7362 0.7362 0.7915
0.2638 0.2638 0.2085
```